First-principles (PBE-GGA) data for crystalline PmPr4Dy4 at its relaxed geometry, as listed in Alexandria via LeMat-Bulk.

a b c (Å): 6.277 6.275 12.063
angles (deg): 85.10 64.24 48.37
Atoms (fractional coordinates):
Pm  0.500  0.000  0.000
Pr  0.164  0.332  0.334
Pr  0.836  0.668  0.666
Pr  0.946  0.222  0.888
Pr  0.054  0.778  0.112
Dy  0.604  0.557  0.226
Dy  0.720  0.113  0.446
Dy  0.396  0.443  0.774
Dy  0.280  0.887  0.554

The calculation puts the spin magnetization at 0.0 Bohr magnetons per cell. The density of states at the Fermi level comes out at 1.4567 states/eV per atom. Its formation energy from the elements is 0.018 eV/atom. The value obtained for the total energy is -42.1 eV for the cell shown.